(1)
The following is a DFT calculation (PBE-GGA) of KTb3Sm2Te6 after structural relaxation.

a b c (Å): 4.407 9.074 10.020
angles (deg): 103.76 102.70 90.00
Sites, in units of the cell vectors:
K 0.500 0.000 0.000
Tb 0.500 0.500 0.000
Tb 0.837 0.177 0.674
Tb 0.163 0.823 0.326
Sm 0.829 0.653 0.657
Sm 0.171 0.347 0.343
Te 0.326 0.917 0.653
Te 0.663 0.587 0.327
Te 0.674 0.083 0.347
Te 0.002 0.266 0.004
Te 0.998 0.734 0.996
Te 0.337 0.413 0.673

DFT total energy (eV/f.u.): -59.4
Crystal system: monoclinic
ΔE_f (raw) (kJ per mole of atoms): -129.7
Total moment (μB/f.u.): 0.00
Theoretical density (g/cm3): 6.9

=====

(2)
The following is a DFT calculation (PBE-GGA) of NdDyEr2S6 after structural relaxation.

a b c (Å): 6.952 6.952 7.355
angles (deg): 61.80 61.80 60.00
Sites, in units of the cell vectors:
Nd 0.810 0.810 0.571
Dy 0.315 0.315 0.054
Er 0.517 0.517 0.449
Er 0.014 0.014 0.959
S 0.618 0.225 0.246
S 0.225 0.910 0.246
S 0.911 0.618 0.246
S 0.394 0.723 0.748
S 0.723 0.134 0.748
S 0.134 0.394 0.748

DFT total energy (eV/f.u.): -63.7
Crystal system: trigonal
ΔE_f (raw) (kJ per mole of atoms): -197.6
Total moment (μB/f.u.): 0.00
Theoretical density (g/cm3): 5.4

=====

(3)
The following is a DFT calculation (PBE-GGA) of V12Si3Ru after structural relaxation.

a b c (Å): 4.724 4.721 9.434
angles (deg): 90.00 90.00 90.00
Sites, in units of the cell vectors:
V 0.500 0.000 0.378
V 0.500 0.000 0.871
V 0.747 0.500 0.000
V 0.750 0.500 0.500
V 0.000 0.749 0.249
V 0.000 0.749 0.751
V 0.500 0.000 0.129
V 0.500 0.000 0.622
V 0.253 0.500 0.000
V 0.250 0.500 0.500
V 0.000 0.251 0.249
V 0.000 0.251 0.751
Si 0.500 0.500 0.248
Si 0.500 0.500 0.752
Si 0.000 0.000 0.000
Ru 0.000 0.000 0.500

DFT total energy (eV/f.u.): -141.6
Crystal system: orthorhombic
ΔE_f (raw) (kJ per mole of atoms): -40.2
Total moment (μB/f.u.): 0.00
Theoretical density (g/cm3): 6.3

=====

(4)
The following is a DFT calculation (PBE-GGA) of Hg2OsCl after structural relaxation.

a b c (Å): 7.232 7.232 7.232
angles (deg): 156.61 140.62 46.31
Sites, in units of the cell vectors:
Cl 0.343 0.843 0.500
Hg 0.004 0.004 0.000
Hg 0.669 0.169 0.500
Os 0.485 0.485 0.000

DFT total energy (eV/f.u.): -11.7
Crystal system: orthorhombic
ΔE_f (raw) (kJ per mole of atoms): 46.6
Total moment (μB/f.u.): 0.00
Theoretical density (g/cm3): 11.0
Energy above the most stable polymorph in this dataset (meV/atom): 0

=====

(5)
The following is a DFT calculation (PBE-GGA) of BaMgCu2 after structural relaxation.

a b c (Å): 4.093 4.047 6.480
angles (deg): 71.64 90.00 90.00
Sites, in units of the cell vectors:
Ba 0.500 0.787 0.805
Cu 0.000 0.156 0.066
Cu 0.500 0.048 0.273
Mg 0.000 0.509 0.356

DFT total energy (eV/f.u.): -11.6
Crystal system: monoclinic
Total moment (μB/f.u.): 0.00
Theoretical density (g/cm3): 4.7

=====

(6)
The following is a DFT calculation (PBE-GGA) of ScCd2Rh after structural relaxation.

a b c (Å): 4.726 4.726 4.726
angles (deg): 60.00 60.00 60.00
Sites, in units of the cell vectors:
Sc 0.000 0.000 0.000
Rh 0.500 0.500 0.500
Cd 0.250 0.250 0.250
Cd 0.750 0.750 0.750

DFT total energy (eV/f.u.): -16.6
Crystal system: cubic
Total moment (μB/f.u.): 0.00
Theoretical density (g/cm3): 8.3

=====

(7)
The following is a DFT calculation (PBE-GGA) of Dy5TmTh3 after structural relaxation.

a b c (Å): 7.493 7.493 12.266
angles (deg): 84.56 84.56 66.52
Sites, in units of the cell vectors:
Dy 0.940 0.329 0.227
Dy 0.328 0.672 0.000
Dy 0.744 0.744 0.023
Dy 0.557 0.557 0.378
Dy 0.443 0.443 0.622
Dy 0.256 0.256 0.977
Dy 0.329 0.940 0.227
Dy 0.672 0.328 0.000
Dy 0.060 0.671 0.773
Dy 0.671 0.060 0.773
Tm 0.138 0.138 0.734
Tm 0.862 0.862 0.266
Th 0.623 0.623 0.783
Th 0.740 0.740 0.542
Th 0.000 0.000 0.000
Th 0.000 0.000 0.500
Th 0.377 0.377 0.217
Th 0.260 0.260 0.458

DFT total energy (eV/f.u.): -44.7
Crystal system: monoclinic
Total moment (μB/f.u.): 0.00
Theoretical density (g/cm3): 8.9
Energy above the most stable polymorph in this dataset (meV/atom): 200

=====

(8)
The following is a DFT calculation (PBE-GGA) of YSc2Cd2 after structural relaxation.

a b c (Å): 8.349 8.349 3.556
angles (deg): 90.00 90.00 90.00
Sites, in units of the cell vectors:
Y 0.000 0.000 0.000
Y 0.500 0.500 0.000
Sc 0.170 0.670 0.500
Sc 0.670 0.830 0.500
Sc 0.830 0.330 0.500
Sc 0.330 0.170 0.500
Cd 0.372 0.872 0.000
Cd 0.872 0.628 0.000
Cd 0.628 0.128 0.000
Cd 0.128 0.372 0.000

DFT total energy (eV/f.u.): -21.9
Crystal system: tetragonal
Total moment (μB/f.u.): 0.00
Theoretical density (g/cm3): 5.4
Energy above the most stable polymorph in this dataset (meV/atom): 58

=====

(9)
The following is a DFT calculation (PBE-GGA) of CsCuHgSe2 after structural relaxation.

a b c (Å): 6.166 7.715 7.381
angles (deg): 110.14 90.00 90.00
Sites, in units of the cell vectors:
Cs 0.237 0.500 0.750
Cs 0.763 0.500 0.250
Cu 0.000 0.000 0.000
Cu 0.000 0.000 0.500
Hg 0.499 0.000 0.250
Hg 0.501 0.000 0.750
Se 0.727 0.790 0.925
Se 0.727 0.210 0.575
Se 0.273 0.790 0.425
Se 0.273 0.210 0.075

DFT total energy (eV/f.u.): -14.9
Crystal system: monoclinic
ΔE_f (raw) (kJ per mole of atoms): -50.9
Total moment (μB/f.u.): 0.00
Theoretical density (g/cm3): 5.6

=====

(10)
The following is a DFT calculation (PBE-GGA) of RbHgSbTe3 after structural relaxation.

a b c (Å): 8.432 8.432 12.049
angles (deg): 90.00 90.00 148.47
Sites, in units of the cell vectors:
Rb 0.248 0.752 0.246
Rb 0.752 0.248 0.746
Hg 0.548 0.452 0.256
Hg 0.452 0.548 0.756
Sb 0.991 0.009 0.011
Sb 0.009 0.991 0.511
Te 0.634 0.366 0.460
Te 0.377 0.623 0.542
Te 0.623 0.377 0.042
Te 0.366 0.634 0.960
Te 0.934 0.066 0.240
Te 0.066 0.934 0.740

DFT total energy (eV/f.u.): -17.2
Crystal system: orthorhombic
ΔE_f (raw) (kJ per mole of atoms): -38.2
Total moment (μB/f.u.): 0.00
Theoretical density (g/cm3): 5.9
Energy above the most stable polymorph in this dataset (meV/atom): 9

=====

(11)
The following is a DFT calculation (PBE-GGA) of Sc2SbSe after structural relaxation.

a b c (Å): 3.647 3.873 7.017
angles (deg): 89.97 90.00 90.00
Sites, in units of the cell vectors:
Sb 0.500 0.750 0.750
Sc 0.000 0.250 0.977
Sc 0.000 0.250 0.523
Se 0.500 0.250 0.250

DFT total energy (eV/f.u.): -24.4
Crystal system: orthorhombic
ΔE_f (raw) (kJ per mole of atoms): -98.7
Total moment (μB/f.u.): 0.57
Theoretical density (g/cm3): 4.9
Energy above the most stable polymorph in this dataset (meV/atom): 241

=====

(12)
The following is a DFT calculation (PBE-GGA) of Mg3HgN after structural relaxation.

a b c (Å): 5.113 5.113 5.113
angles (deg): 90.00 90.00 90.00
Sites, in units of the cell vectors:
Mg 0.000 0.500 0.000
Mg 0.000 0.000 0.500
Mg 0.500 0.000 0.000
Hg 0.000 0.000 0.000
N 0.500 0.500 0.500

DFT total energy (eV/f.u.): -7.6
Crystal system: cubic
ΔE_f (raw) (kJ per mole of atoms): 113.0
Total moment (μB/f.u.): 0.00
Theoretical density (g/cm3): 3.6
Energy above the most stable polymorph in this dataset (meV/atom): 1602

=====

(13)
The following is a DFT calculation (PBE-GGA) of Cs2AlSiI6 after structural relaxation.

a b c (Å): 8.319 8.319 8.304
angles (deg): 59.94 59.94 90.00
Sites, in units of the cell vectors:
Cs 0.750 0.250 0.500
Cs 0.250 0.750 0.500
I 0.252 0.252 0.495
I 0.748 0.748 0.505
I 0.252 0.252 0.000
I 0.748 0.748 0.000
I 0.748 0.252 0.000
I 0.252 0.748 0.000
Si 0.000 0.000 0.000
Al 0.500 0.500 0.000

DFT total energy (eV/f.u.): -27.8
Crystal system: tetragonal
ΔE_f (raw) (kJ per mole of atoms): -73.8
Total moment (μB/f.u.): 0.00
Theoretical density (g/cm3): 4.4

=====

(14)
The following is a DFT calculation (PBE-GGA) of U2Ge3Ir4Au after structural relaxation.

a b c (Å): 4.008 4.008 11.477
angles (deg): 90.00 90.00 90.00
Sites, in units of the cell vectors:
U 0.500 0.000 0.253
U 0.000 0.500 0.747
Ge 0.000 0.000 0.500
Ge 0.500 0.000 0.878
Ge 0.000 0.500 0.122
Ir 0.500 0.500 0.000
Ir 0.000 0.000 0.000
Ir 0.500 0.000 0.669
Ir 0.000 0.500 0.331
Au 0.500 0.500 0.500

DFT total energy (eV/f.u.): -79.1
Crystal system: tetragonal
Total moment (μB/f.u.): 3.44
Theoretical density (g/cm3): 15.0

=====

(15)
The following is a DFT calculation (PBE-GGA) of ZnGaN2 after structural relaxation.

a b c (Å): 6.094 6.094 6.094
angles (deg): 29.56 29.56 29.56
Sites, in units of the cell vectors:
Zn 0.000 0.000 0.000
Ga 0.500 0.500 0.500
N 0.895 0.895 0.895
N 0.105 0.105 0.105

DFT total energy (eV/f.u.): -19.3
Crystal system: trigonal
ΔE_f (raw) (kJ per mole of atoms): 39.9
Total moment (μB/f.u.): 0.00
Theoretical density (g/cm3): 5.6
Energy above the most stable polymorph in this dataset (meV/atom): 335

=====

(16)
The following is a DFT calculation (PBE-GGA) of Sr2Mg after structural relaxation.

a b c (Å): 4.163 4.163 17.977
angles (deg): 90.00 90.00 120.00
Sites, in units of the cell vectors:
Sr 0.000 0.000 0.000
Sr 0.333 0.667 0.804
Sr 0.333 0.667 0.500
Sr 0.333 0.667 0.196
Mg 0.000 0.000 0.652
Mg 0.000 0.000 0.348

DFT total energy (eV/f.u.): -4.7
Crystal system: hexagonal
Total moment (μB/f.u.): 0.00
Theoretical density (g/cm3): 2.5